LiBeW2 | PBE | optimized geometry

Output
Energy relative to the elements   0.46 eV per atom

Cell: 4.541 4.541 2.677 Å, 90.00 90.00 107.80°
Fractional positions:
Be  0.500  0.000  0.500
Li  0.000  0.500  0.500
W  0.000  0.000  0.000
W  0.500  0.500  0.000